Material: GeSb2TeBr
Method: DFT, PBE-GGA
State: optimized geometry

abc: 5.4583 5.4583 5.3647
angles: 90.00 90.00 90.00
With the nearest neighbours (Å) after each atom.
Positions (direct):
Te  0.0000  0.0000  0.5000  2 Ge 2.68
Sb  0.0000  0.5000  0.0000  2 Ge 2.73
Sb  0.5000  0.0000  0.0000  2 Ge 2.73
Ge  0.0000  0.0000  0.0000  2 Te 2.68, 4 Sb 2.73
Br  0.5000  0.5000  0.5000  8 Sb 3.83, 4 Te 3.86

Computed properties:
- polymorph energy (0 for the lowest one) (eV/f.u.) = 0.000
- symmetry = P4/mmm (123)
- magnetization (μB per atom) = 0.000
- formation energy without anion corrections (meV/atom) = 521
- density (Mg/m³) = 5.44

***

Material: CrSiAg
Method: DFT, PBE-GGA
State: optimized geometry

abc: 5.8691 5.8691 5.8691
angles: 151.76 151.76 40.36
With the nearest neighbours (Å) after each atom.
Positions (direct):
Ag  0.0032  0.0032  0.0000  4 Si 2.84, 4 Ag 2.86, 4 Cr 2.92
Si  0.6841  0.6841  0.0000  4 Cr 2.47
Cr  0.3127  0.3127  0.0000  4 Si 2.47

Computed properties:
- polymorph energy (0 for the lowest one) (eV/f.u.) = 0.098
- symmetry = I4mm (107)
- magnetization (μB per atom) = 0.913
- formation energy without anion corrections (meV/atom) = 292
- density (Mg/m³) = 6.91

***

Material: CeFe4Os
Method: DFT, PBE-GGA
State: optimized geometry

abc: 4.9698 4.9698 4.9698
angles: 60.00 60.00 60.00
With the nearest neighbours (Å) after each atom.
Positions (direct):
Fe  0.6257  0.6257  0.6257  6 Fe 2.47-2.50
Fe  0.6257  0.1230  0.6257  6 Fe 2.47-2.50
Fe  0.1230  0.6257  0.6257  6 Fe 2.47-2.50
Fe  0.6257  0.6257  0.1230  6 Fe 2.47-2.50
Os  0.0000  0.0000  0.0000  12 Fe 2.91, 4 Ce 3.04
Ce  0.2500  0.2500  0.2500  12 Fe 2.92, 4 Os 3.04

Computed properties:
- symmetry = F-43m (216)
- magnetization (μB per atom) = 1.643
- density (Mg/m³) = 10.59
- energy of formation (eV per atom) = 0.139

***

Material: PrPHRh2
Method: DFT, PBE-GGA
State: optimized geometry

abc: 3.8581 5.7133 7.1211
angles: 90.00 90.00 109.73
With the nearest neighbours (Å) after each atom.
Positions (direct):
P  0.7226  0.4452  0.7500  6 Rh 2.45-2.50
P  0.2774  0.5548  0.2500  6 Rh 2.45-2.50
Rh  0.8351  0.6703  0.4433  1 H 1.82
Rh  0.8351  0.6703  0.0567  1 H 1.82
Rh  0.1649  0.3297  0.5567  1 H 1.82
Rh  0.1649  0.3297  0.9433  1 H 1.82
Pr  0.5569  0.1137  0.2500  4 H 2.70, 1 P 3.01
Pr  0.4431  0.8863  0.7500  4 H 2.70, 1 P 3.01
H  0.0000  0.0000  0.5000  2 Rh 1.82
H  0.0000  0.0000  0.0000  2 Rh 1.82

Computed properties:
- electronic total energy (eV per atom) = -6.514
- symmetry = Cmcm (63)
- magnetization (μB per atom) = 0.000
- density (Mg/m³) = 8.51

***

Material: NbHRu2
Method: DFT, PBE-GGA
State: optimized geometry

abc: 2.8426 2.8426 7.0626
angles: 78.39 78.39 60.00
With the nearest neighbours (Å) after each atom.
Positions (direct):
Ru  0.7217  0.7217  0.8349  3 H 1.99
Ru  0.2783  0.2783  0.1651  3 H 1.99
Nb  0.5000  0.5000  0.5000  6 Ru 2.83, 6 Nb 2.84
H  0.0000  0.0000  0.0000  6 Ru 1.99

Computed properties:
- polymorph energy (0 for the lowest one) (eV/f.u.) = 0.000
- symmetry = R-3m (166)
- magnetization (μB per atom) = 0.000
- density (Mg/m³) = 10.23

***

Material: RePW2I
Method: DFT, PBE-GGA
State: optimized geometry

abc: 4.8564 5.1983 4.8564
angles: 90.00 90.00 90.00
With the nearest neighbours (Å) after each atom.
Positions (direct):
P  0.5000  0.5000  0.5000  4 I 3.43, 8 W 3.56
Re  0.0000  0.0000  0.0000  4 W 2.43, 2 I 2.60
W  0.5000  0.0000  0.0000  2 Re 2.43
W  0.0000  0.0000  0.5000  2 Re 2.43
I  0.0000  0.5000  0.0000  2 Re 2.60

Computed properties:
- symmetry = P4/mmm (123)
- magnetization (μB per atom) = 0.413
- formation energy without anion corrections (meV/atom) = 2352
- density (Mg/m³) = 9.64

***

Material: LiFe2Cl2
Method: DFT, PBE-GGA
State: optimized geometry

abc: 4.5292 4.5292 5.6486
angles: 66.36 66.36 90.00
With the nearest neighbours (Å) after each atom.
Positions (direct):
Cl  0.2500  0.7500  0.5000  4 Fe 2.57
Cl  0.7500  0.2500  0.5000  4 Fe 2.57
Li  0.0000  0.0000  0.0000  8 Cl 3.25, 10 Fe 3.39-3.55
Fe  0.6188  0.6188  0.7624  1 Fe 2.21
Fe  0.3812  0.3812  0.2376  1 Fe 2.21

Computed properties:
- polymorph energy (0 for the lowest one) (eV/f.u.) = 0.000
- symmetry = I4/mmm (139)
- magnetization (μB per atom) = 1.352
- formation energy without anion corrections (meV/atom) = 7
- density (Mg/m³) = 3.30

***

Material: YCo6
Method: DFT, PBE-GGA
State: optimized geometry

abc: 5.2169 5.2169 5.2169
angles: 109.47 109.47 109.47
With the nearest neighbours (Å) after each atom.
Positions (direct):
Co  0.2500  0.5000  0.7500  4 Co 2.13
Co  0.5000  0.2500  0.7500  4 Co 2.13
Co  0.2500  0.7500  0.5000  4 Co 2.13
Co  0.7500  0.2500  0.5000  4 Co 2.13
Co  0.5000  0.7500  0.2500  4 Co 2.13
Co  0.7500  0.5000  0.2500  4 Co 2.13
Y  0.0000  0.0000  0.0000  24 Co 3.37

Computed properties:
- polymorph energy (0 for the lowest one) (eV/f.u.) = 3.989
- symmetry = Im-3m (229)
- magnetization (μB per atom) = 0.015
- density (Mg/m³) = 6.72
- energy of formation (eV per atom) = 0.509